Entry 1:
This record from Alexandria via LeMat-Bulk describes crystalline CeSiI at its relaxed geometry. The functional is PBEsol.

a = 4.087 Å, b = 4.087 Å, c = 11.554 Å
α = 90.00°, β = 90.00°, γ = 120.00°
Site moments in Bohr magnetons follow the coordinates.
Fractional coordinates of all 6 atoms:
Si (0.333, 0.667, 0.997)  -0.01
Si (0.667, 0.333, 0.003)  -0.01
I (0.333, 0.667, 0.350)  -0.01
I (0.667, 0.333, 0.650)  -0.01
Ce (0.000, 0.000, 0.165)  0.52
Ce (0.000, 0.000, 0.835)  0.52

Results
Symmetry: P-3m1
Formation energy (no corrections) in eV/atom: -1.027


Entry 2:
This record from Alexandria via LeMat-Bulk describes crystalline TaTi2Mo at its relaxed geometry. The functional is PBEsol.

a = 4.491 Å, b = 4.491 Å, c = 4.491 Å
α = 60.00°, β = 60.00°, γ = 60.00°
Fractional coordinates of all 4 atoms:
Ti (0.250, 0.250, 0.250)
Ti (0.750, 0.750, 0.750)
Ta (0.500, 0.500, 0.500)
Mo (0.000, 0.000, 0.000)

Results
Energy of formation from the pure elements in meV per atom: 60
Symmetry: Fm-3m


no.,D(E_F) (states/eV/f.u.)
1,4.2
2,7.5